Entry from Alexandria: a relaxed ReAs2SBr crystal (PBE).

The structure in extended XYZ format:
```
5
Lattice="-3.894 1.022 -3.223 1.172 -3.660 -2.576 -3.118 -2.984 2.822" Properties=species:S:1:pos:R:3 pbc="T T T"
Re 0.586 -1.830 -1.288
S -2.920 -2.811 -1.488
As -1.947 0.511 -1.611
As -1.559 -1.492 1.411
Br 0.000 0.000 0.000
```

As for the calculated volume: 24.60 A^3/atom. The energy above the most stable polymorph in this dataset comes out at 1321 meV per atom. As for the total magnetization: 1.50 μB per formula unit. The calculation puts the theoretical density at 6048 kg/m³. As for the crystal system: tetragonal. The formation energy without anion corrections comes out at 2075 meV per atom.